Computed, not measured: a relaxed CsWI2O crystal at the PBE+U level of DFT.

raw total energy = -2.448 eV/atom
crystal system = tetragonal
energy relative to the lowest polymorph listed for this composition = 38.488 kcal/mol of atoms

a b c (Å): 6.895 6.895 4.402
angles (deg): 90.00 90.00 90.00
Space group P4/mmm (No. 123)
Inequivalent atoms, fractional coordinates:
Cs 0.000 0.000 0.000 x1
W 0.500 0.500 0.500 x1
I 0.000 0.500 0.000 x2
O 0.000 0.000 0.500 x1